# Ho8P3S4

Crystalline Ho8P3S4 at its relaxed geometry (PBE, the Alexandria database).

Structure (POSCAR):
```
Ho8P3S4
1.0
5.516 -5.529 0.000
5.516 5.529 0.000
-5.511 0.000 5.538
Ho P S
8 3 4
Cartesian
5.516 2.795 0.000
0.000 0.000 2.748
2.734 0.000 0.035
2.761 2.746 2.769
2.761 -2.746 2.769
2.788 0.000 5.503
5.521 0.000 2.790
5.516 -2.795 0.000
0.000 0.000 0.000
0.003 2.764 2.769
0.003 -2.764 2.769
2.758 2.764 0.000
2.758 -2.764 0.000
5.516 0.000 0.000
2.761 0.000 2.769
```

Computed properties:
Total energy   -6.36 eV/atom
Total magnetic moment   0.00 μB per formula unit
SG   No. 12
Raw formation energy   -1.7394 eV/atom